Entry 1:
Ho2C3 | GGA-PBE | relaxed

Its formation energy is -0.269 eV per atom. The value obtained for the total moment is 0.0 μB per cell.

a b c (Å): 8.188 8.188 8.188
angles (deg): 90.00 90.00 90.00
Space group I-43d (No. 220)
Unique sites:
Ho: 0.050 0.450 0.550 (multiplicity 16)
C: 0.000 0.250 0.793 (multiplicity 24)

=====

Entry 2:
HoC | GGA-PBE | relaxed

Its formation energy is -0.244 eV per atom. The value obtained for the total moment is 0.0 μB per cell.

a b c (Å): 7.457 3.491 5.976
angles (deg): 90.00 90.85 90.00
Space group C2/m (No. 12)
Unique sites:
Ho: 0.144 0.000 0.273 (multiplicity 4)
C: 0.080 0.500 0.555 (multiplicity 4)